#A
This record from Alexandria via LeMat-Bulk describes BaInW after structural relaxation. The functional is PBE.

Unit cell a=8.209 b=8.208 c=3.080 alpha=79.21 beta=79.17 gamma=21.62
Positions (direct):
W 0.681 0.681 0.319
In 0.314 0.314 0.686
Ba 0.005 0.005 0.995

Calculated values
M_tot = 0.000 μB per formula unit
density of states at the Fermi level = 3.27 states/eV/f.u.

---

#B
This record from Alexandria via LeMat-Bulk describes BaInW after structural relaxation. The functional is PBE.

Unit cell a=5.154 b=5.154 c=5.154 alpha=60.00 beta=60.00 gamma=60.00
Site moments in Bohr magnetons follow the coordinates.
Positions (direct):
Ba 0.000 0.000 0.000  0.12
In 0.500 0.500 0.500  -0.10
W 0.250 0.250 0.250  2.35

Calculated values
M_tot = 3.012 μB per formula unit
density of states at the Fermi level = 1.33 states/eV/f.u.

---

It is #A that is the most stable of them.

---

#A
This record from Alexandria via LeMat-Bulk describes BaYIn3 after structural relaxation. The functional is PBE.

Unit cell a=5.845 b=5.845 c=5.845 alpha=90.00 beta=90.00 gamma=90.00
Site moments in Bohr magnetons follow the coordinates.
Positions (direct):
In 0.000 0.500 0.000  0.04
In 0.500 0.000 0.000  0.04
In 0.000 0.000 0.500  0.02
Ba 0.500 0.500 0.500  0.01
Y 0.000 0.000 0.000  0.15

Calculated values
M_tot = 0.472 μB per formula unit
density of states at the Fermi level = 7.07 states/eV/f.u.

---

#B
This record from Alexandria via LeMat-Bulk describes BaYIn3 after structural relaxation. The functional is PBE.

Unit cell a=5.988 b=5.988 c=5.988 alpha=90.00 beta=90.00 gamma=90.00
Positions (direct):
In 0.000 0.000 0.500
In 0.000 0.500 0.000
In 0.500 0.000 0.000
Y 0.500 0.500 0.500
Ba 0.000 0.000 0.000

Calculated values
M_tot = 0.000 μB per formula unit
density of states at the Fermi level = 8.81 states/eV/f.u.

---

It is #A that is the most stable of them.

---

#A
This record from Alexandria via LeMat-Bulk describes Ba3YIn after structural relaxation. The functional is PBE.

Unit cell a=6.464 b=6.464 c=6.464 alpha=90.00 beta=90.00 gamma=90.00
Positions (direct):
Ba 0.000 0.500 0.000
Ba 0.000 0.000 0.500
Ba 0.500 0.000 0.000
Y 0.000 0.000 0.000
In 0.500 0.500 0.500

Calculated values
M_tot = 0.000 μB per formula unit
density of states at the Fermi level = 4.47 states/eV/f.u.

---

#B
This record from Alexandria via LeMat-Bulk describes Ba3YIn after structural relaxation. The functional is PBE.

Unit cell a=6.649 b=6.649 c=6.649 alpha=90.00 beta=90.00 gamma=90.00
Site moments in Bohr magnetons follow the coordinates.
Positions (direct):
Ba 0.500 0.000 0.000  0.08
Ba 0.000 0.000 0.500  0.05
Ba 0.000 0.500 0.000  0.06
In 0.000 0.000 0.000  0.05
Y 0.500 0.500 0.500  0.39

Calculated values
M_tot = 1.894 μB per formula unit
density of states at the Fermi level = 13.09 states/eV/f.u.

---

It is #B that is the most stable of them.